No. 1
SrB4Mo: relaxed, PBE.

Summary:
Its energy above the lowest structure with this stoichiometry is 282 meV per atom. For the calculated volume, the calculation gives 10.79 Å³/atom. As for the total energy: -6.454 eV/atom. Its space-group type is Immm (71).

abc: 4.884 4.884 4.884
angles: 142.38 110.40 81.91
Fractional positions:
Sr (0.000, 0.000, 0.000)
B (0.101, 0.760, 0.342)
B (0.418, 0.760, 0.658)
B (0.582, 0.240, 0.342)
B (0.899, 0.240, 0.658)
Mo (0.500, 0.500, 0.000)

No. 2
SrB4Mo: relaxed, PBE.

Summary:
Its energy above the lowest structure with this stoichiometry is 0 meV per atom. For the calculated volume, the calculation gives 10.76 Å³/atom. As for the total energy: -6.736 eV/atom. Its space-group type is P6/mmm (191).

abc: 3.092 3.092 7.796
angles: 90.00 90.00 120.00
Fractional positions:
Sr (0.000, 0.000, 0.000)
B (0.333, 0.667, 0.289)
B (0.333, 0.667, 0.711)
B (0.667, 0.333, 0.289)
B (0.667, 0.333, 0.711)
Mo (0.000, 0.000, 0.500)

No. 3
Sr2BMo: relaxed, PBE.

Summary:
For the calculated volume, the calculation gives 22.90 Å³/atom. As for the total energy: -3.767 eV/atom. Its space-group type is F-43m (216).

abc: 5.060 5.060 5.060
angles: 60.00 60.00 60.00
Fractional positions:
Sr (0.000, 0.000, 0.000)
Sr (0.250, 0.250, 0.250)
B (0.500, 0.500, 0.500)
Mo (0.750, 0.750, 0.750)

No. 4
TaBMo2: relaxed, PBE.

Summary:
For the calculated volume, the calculation gives 14.30 Å³/atom. As for the total energy: -9.584 eV/atom. Its space-group type is F-43m (216).

abc: 4.325 4.325 4.325
angles: 60.00 60.00 60.00
Fractional positions:
Ta (0.000, 0.000, 0.000)
B (0.750, 0.750, 0.750)
Mo (0.250, 0.250, 0.250)
Mo (0.500, 0.500, 0.500)

No. 5
TaB4Mo: relaxed, PBE.

Summary:
Its energy above the lowest structure with this stoichiometry is 8 meV per atom. For the calculated volume, the calculation gives 9.02 Å³/atom. As for the total energy: -8.700 eV/atom. Its space-group type is P6/mmm (191).

abc: 3.087 3.087 6.557
angles: 90.00 90.00 120.00
Fractional positions:
Ta (0.000, 0.000, 0.000)
B (0.333, 0.667, 0.251)
B (0.333, 0.667, 0.749)
B (0.667, 0.333, 0.251)
B (0.667, 0.333, 0.749)
Mo (0.000, 0.000, 0.500)

No. 6
TaB4Mo: relaxed, PBE.

Summary:
Its energy above the lowest structure with this stoichiometry is 0 meV per atom. For the calculated volume, the calculation gives 9.02 Å³/atom. As for the total energy: -8.708 eV/atom. Its space-group type is Immm (71).

abc: 4.515 4.515 4.515
angles: 140.20 107.69 85.86
Fractional positions:
Ta (0.000, 0.000, 0.000)
B (0.081, 0.749, 0.332)
B (0.417, 0.749, 0.668)
B (0.583, 0.251, 0.332)
B (0.919, 0.251, 0.668)
Mo (0.500, 0.500, 0.000)

No. 7
Tb2B4Mo3: relaxed, PBE.

Summary:
For the calculated volume, the calculation gives 13.37 Å³/atom. As for the total energy: -7.951 eV/atom. Its space-group type is P2_1/c (14).

abc: 6.344 6.421 6.168
angles: 90.00 106.65 90.00
Fractional positions:
Tb (0.190, 0.171, 0.087)
Tb (0.190, 0.329, 0.587)
Tb (0.810, 0.671, 0.413)
Tb (0.810, 0.829, 0.913)
B (0.082, 0.534, 0.902)
B (0.082, 0.966, 0.402)
B (0.497, 0.606, 0.610)
B (0.497, 0.894, 0.110)
B (0.503, 0.106, 0.890)
B (0.503, 0.394, 0.390)
B (0.918, 0.034, 0.598)
B (0.918, 0.466, 0.098)
Mo (0.262, 0.679, 0.250)
Mo (0.262, 0.821, 0.750)
Mo (0.500, 0.000, 0.500)
Mo (0.500, 0.500, 0.000)
Mo (0.738, 0.179, 0.250)
Mo (0.738, 0.321, 0.750)

No. 8
TbB3Mo: relaxed, PBE.

Summary:
For the calculated volume, the calculation gives 11.60 Å³/atom. As for the total energy: -7.705 eV/atom. Its space-group type is P2_1/m (11).

abc: 5.458 3.167 6.862
angles: 90.00 102.20 90.00
Fractional positions:
Tb (0.174, 0.250, 0.209)
Tb (0.826, 0.750, 0.791)
B (0.083, 0.750, 0.494)
B (0.413, 0.750, 0.496)
B (0.420, 0.750, 0.975)
B (0.580, 0.250, 0.025)
B (0.587, 0.250, 0.504)
B (0.917, 0.250, 0.506)
Mo (0.312, 0.250, 0.719)
Mo (0.688, 0.750, 0.281)